Below is a relaxed Sr2HoAgHg6 crystal, with properties calculated at the PBE-GGA level.

**Energy of formation from the pure elements**: -0.133 eV per atom

Structure (POSCAR):
```
Sr2HoAgHg6
1.0
0.000 5.553 5.553
5.553 0.000 5.553
5.553 5.553 0.000
Sr Ho Ag Hg
2 1 1 6
direct
0.250 0.250 0.250
0.750 0.750 0.750
0.000 0.000 0.000
0.500 0.500 0.500
0.256 0.256 0.744
0.256 0.744 0.256
0.256 0.744 0.744
0.744 0.256 0.256
0.744 0.256 0.744
0.744 0.744 0.256
```

Below is a relaxed In2AsRh crystal, with properties calculated at the PBE-GGA level.

**Energy of formation from the pure elements**: 0.022 eV per atom

Structure (POSCAR):
```
In2AsRh
1.0
4.515 0.000 0.000
0.000 4.515 0.000
0.000 0.000 3.804
In As Rh
2 1 1
direct
0.000 0.500 0.000
0.500 0.000 0.000
0.000 0.000 0.500
0.500 0.500 0.500
```

Below is a relaxed TbSc5In4 crystal, with properties calculated at the PBE-GGA level.

**Energy of formation from the pure elements**: -0.036 eV per atom

Structure (POSCAR):
```
TbSc5In4
1.0
8.119 0.000 0.000
0.000 9.466 0.000
0.000 0.000 7.141
Tb Sc In
2 10 8
direct
0.250 0.250 0.026
0.750 0.750 0.974
0.030 0.005 0.724
0.030 0.495 0.724
0.250 0.750 0.406
0.470 0.005 0.724
0.470 0.495 0.724
0.530 0.505 0.276
0.530 0.995 0.276
0.750 0.250 0.594
0.970 0.505 0.276
0.970 0.995 0.276
0.080 0.250 0.469
0.250 0.596 0.025
0.250 0.904 0.025
0.420 0.250 0.469
0.580 0.750 0.531
0.750 0.096 0.975
0.750 0.404 0.975
0.920 0.750 0.531
```

Below is a relaxed LaGdSnI crystal, with properties calculated at the PBE-GGA level.

**Formation energy (no corrections)**: -3.1 eV per formula unit

Structure (POSCAR):
```
LaGdSnI
1.0
0.000 3.929 3.929
3.929 0.000 3.929
3.929 3.929 0.000
La Gd Sn I
1 1 1 1
direct
0.000 0.000 0.000
0.500 0.500 0.500
0.750 0.750 0.750
0.250 0.250 0.250
```

Below is a relaxed CuIr2W crystal, with properties calculated at the PBE-GGA level.

**Energy of formation from the pure elements**: 0.047 eV per atom

Structure (POSCAR):
```
CuIr2W
1.0
0.000 3.078 3.078
3.078 0.000 3.078
3.078 3.078 0.000
Cu Ir W
1 2 1
direct
0.000 0.000 0.000
0.250 0.250 0.250
0.750 0.750 0.750
0.500 0.500 0.500
```

Below is a relaxed NaDyAl4 crystal, with properties calculated at the PBE-GGA level.

**Energy of formation from the pure elements**: -0.214 eV per atom

Structure (POSCAR):
```
NaDyAl4
1.0
0.000 3.940 3.940
3.940 0.000 3.940
3.940 3.940 0.000
Na Dy Al
1 1 4
direct
0.000 0.000 0.000
0.250 0.250 0.250
0.127 0.624 0.624
0.624 0.127 0.624
0.624 0.624 0.127
0.624 0.624 0.624
```

Below is a relaxed NaReSnRh2 crystal, with properties calculated at the PBE-GGA level.

**Energy of formation from the pure elements**: 1.822 eV per atom

Structure (POSCAR):
```
NaReSnRh2
1.0
4.485 0.000 0.000
0.000 4.485 0.000
0.000 0.000 4.671
Na Re Sn Rh
1 1 1 2
direct
0.000 0.000 0.000
0.000 0.000 0.500
0.500 0.500 0.500
0.000 0.500 0.000
0.500 0.000 0.000
```

Below is a relaxed CoTeIr crystal, with properties calculated at the PBE-GGA level.

**Formation energy (no corrections)**: 1.6 eV per formula unit

Structure (POSCAR):
```
CoTeIr
1.0
-1.542 1.542 5.176
1.542 -1.542 5.176
1.542 1.542 -5.176
Co Te Ir
1 1 1
direct
0.000 0.000 0.000
0.324 0.324 0.000
0.643 0.643 0.000
```